No. 1
Compound: SrRe2AgB
Source: the Alexandria database
Functional: PBE
Structure: optimized geometry

Total energy ... -4.356 eV/atom
DOS(E_F) ... 0.79 states/eV per atom
Symmetry ... No. 123
Formation enthalpy at 0 K ... 2.87 eV/atom
Theoretical density ... 6.9 Mg/m³

The structure in POSCAR format:
```
SrRe2AgB
1.0
4.9851 0.0000 0.0000
0.0000 5.6098 0.0000
0.0000 0.0000 4.9851
Ag B Re Sr
1 1 2 1
Direct
0.0000 0.0000 0.0000
0.5000 0.5000 0.5000
0.5000 0.0000 0.0000
0.0000 0.0000 0.5000
0.0000 0.5000 0.0000
```



No. 2
Compound: CeSmIr2
Source: the Alexandria database
Functional: PBE
Structure: optimized geometry

Total energy ... -7.763 eV/atom
DOS(E_F) ... 0.64 states/eV per atom
Symmetry ... No. 123
Formation enthalpy at 0 K ... -0.67 eV/atom
Relative energy among the computed polymorphs ... 0.0756 eV per atom
Theoretical density ... 13.0 Mg/m³

The structure in POSCAR format:
```
CeSmIr2
1.0
-1.8514 1.5397 2.5288
1.5087 -2.0755 2.3684
5.1450 4.7429 0.8790
Sm Ce Ir
1 1 2
Direct
0.5000 0.5000 0.5000
0.5000 0.5000 0.0000
0.0000 0.0000 0.2328
0.0000 0.0000 0.7672
```



No. 3
Compound: Al2IrRu
Source: the Alexandria database
Functional: PBE
Structure: optimized geometry

Total energy ... -6.838 eV/atom
DOS(E_F) ... 0.72 states/eV per atom
Symmetry ... No. 47
Formation enthalpy at 0 K ... -0.43 eV/atom
Theoretical density ... 10.0 Mg/m³

The structure in POSCAR format:
```
Al2IrRu
1.0
-1.4106 -1.6574 2.0373
1.5643 -3.9750 -2.1507
3.2961 0.0433 2.3174
Al Ru Ir
2 1 1
Direct
0.5000 0.5000 0.0000
0.0000 0.0000 0.0000
0.0000 0.5000 0.5000
0.5000 0.0000 0.5000
```



No. 4
Compound: BaInBiS4
Source: the Alexandria database
Functional: PBE
Structure: optimized geometry

Total energy ... -4.454 eV/atom
DOS(E_F) ... 0.00 states/eV per atom
Symmetry ... No. 11
Formation energy from raw total energies ... -84.5 kJ/mol of atoms
Theoretical density ... 4.7 Mg/m³

The structure in POSCAR format:
```
BaInBiS4
1.0
-4.9164 3.5341 -3.8798
3.0429 -2.4205 -6.0607
-3.0351 -7.8216 1.6000
In S Ba Bi
2 8 2 2
Direct
0.7449 0.2500 0.6768
0.2551 0.7500 0.3232
0.5076 0.2500 0.3998
0.9843 0.5091 0.7285
0.0157 0.0091 0.2715
0.9843 0.9909 0.7285
0.4924 0.7500 0.6002
0.5308 0.2500 0.8477
0.4692 0.7500 0.1523
0.0157 0.4909 0.2715
0.2470 0.2500 0.0448
0.7530 0.7500 0.9552
0.2120 0.2500 0.5204
0.7880 0.7500 0.4796
```



No. 5
Compound: Li5Ho
Source: the Alexandria database
Functional: PBE
Structure: optimized geometry

Total energy ... -2.253 eV/atom
DOS(E_F) ... 0.66 states/eV per atom
Symmetry ... No. 65
Formation enthalpy at 0 K ... 0.11 eV/atom
Theoretical density ... 2.5 Mg/m³

The structure in POSCAR format:
```
Li5Ho
1.0
-2.9447 0.4502 1.4221
1.3789 -3.2666 3.8893
2.1430 7.5732 2.0401
Li Ho
5 1
Direct
0.5000 0.5000 0.0000
0.5000 0.8147 0.6295
0.0000 0.6525 0.3051
0.5000 0.1853 0.3705
0.0000 0.3475 0.6949
0.0000 0.0000 0.0000
```



No. 6
Compound: Be2PtF
Source: the Alexandria database
Functional: PBE
Structure: optimized geometry

Total energy ... -5.104 eV/atom
DOS(E_F) ... 0.16 states/eV per atom
Symmetry ... No. 8
Formation energy from raw total energies ... -121.9 kJ/mol of atoms
Relative energy among the computed polymorphs ... 0.1937 eV per atom
Theoretical density ... 6.6 Mg/m³

The structure in POSCAR format:
```
Be2PtF
1.0
-1.7831 -6.4571 2.4761
0.0699 -1.9495 -5.0335
6.7246 1.6307 -0.5382
F Be Pt
4 8 4
Direct
0.6601 0.7543 0.5339
0.6601 0.2543 0.0339
0.6601 0.2457 0.5339
0.6601 0.7457 0.0339
0.1876 0.7983 0.2999
0.1876 0.2983 0.7999
0.5308 0.0000 0.9696
0.5170 0.5000 0.9628
0.1876 0.2017 0.2999
0.5170 0.0000 0.4628
0.1876 0.7017 0.7999
0.5308 0.5000 0.4696
0.2490 0.5000 0.5502
0.2490 0.5000 0.1104
0.2490 0.0000 0.0502
0.2490 0.0000 0.6104
```



No. 7
Compound: Tl2RhCl
Source: the Alexandria database
Functional: PBE
Structure: optimized geometry

Total energy ... -3.238 eV/atom
DOS(E_F) ... 0.38 states/eV per atom
Symmetry ... No. 216
Formation energy from raw total energies ... 23.6 kJ/mol of atoms
Relative energy among the computed polymorphs ... 0.4136 eV per atom
Theoretical density ... 10.0 Mg/m³

The structure in POSCAR format:
```
Tl2RhCl
1.0
5.0504 0.0000 0.0000
2.5252 4.3738 0.0000
2.5252 1.4579 4.1236
Rh Tl Cl
1 2 1
Direct
0.7500 0.7500 0.7500
0.0000 0.0000 0.0000
0.2500 0.2500 0.2500
0.5000 0.5000 0.5000
```



No. 8
Compound: NpGaFeNi
Source: the Alexandria database
Functional: PBE
Structure: optimized geometry

Total energy ... -7.601 eV/atom
DOS(E_F) ... 1.43 states/eV per atom
Symmetry ... No. 216
Formation enthalpy at 0 K ... -0.05 eV/atom
Theoretical density ... 11.4 Mg/m³

The structure in POSCAR format:
```
NpGaFeNi
1.0
4.4331 0.0000 0.0000
2.2166 3.8392 0.0000
2.2166 1.2797 3.6196
Ga Ni Fe Np
1 1 1 1
Direct
0.5000 0.5000 0.5000
0.2500 0.2500 0.2500
0.7500 0.7500 0.7500
0.0000 0.0000 0.0000
```



No. 9
Compound: ScBeHg2
Source: the Alexandria database
Functional: PBE
Structure: optimized geometry

Total energy ... -2.653 eV/atom
DOS(E_F) ... 0.59 states/eV per atom
Symmetry ... No. 38
Formation enthalpy at 0 K ... 0.01 eV/atom
Theoretical density ... 9.8 Mg/m³

The structure in POSCAR format:
```
ScBeHg2
1.0
-1.2663 3.6258 1.6231
-2.4831 -1.5581 1.5434
2.0372 -1.6135 5.1939
Sc Hg Be
1 2 1
Direct
0.0000 0.5461 0.5331
0.5000 0.1799 0.2636
0.0000 0.8249 0.9753
0.5000 0.9491 0.7280
```



No. 10
Compound: Ce4Y2Rh9
Source: the Alexandria database
Functional: PBE
Structure: optimized geometry

Total energy ... -7.531 eV/atom
DOS(E_F) ... 0.63 states/eV per atom
Symmetry ... No. 164
Formation enthalpy at 0 K ... -0.68 eV/atom
Theoretical density ... 9.0 Mg/m³

The structure in POSCAR format:
```
Ce4Y2Rh9
1.0
-0.7822 3.9447 2.1386
1.1629 -3.6966 2.3935
16.4176 4.1256 -1.6048
Rh Y Ce
9 2 4
Direct
0.0000 0.0000 0.6687
0.0000 0.0000 0.5000
0.0000 0.0000 0.8374
0.6667 0.3333 0.0698
0.0000 0.0000 0.1626
0.3333 0.6667 0.9302
0.0000 0.0000 0.3313
0.3333 0.6667 0.5802
0.6667 0.3333 0.4198
0.6667 0.3333 0.2482
0.3333 0.6667 0.7518
0.3333 0.6667 0.4034
0.6667 0.3333 0.5966
0.6667 0.3333 0.8988
0.3333 0.6667 0.1012
```



No. 11
Compound: TiV12W6
Source: the Alexandria database
Functional: PBE
Structure: optimized geometry

Total energy ... -10.124 eV/atom
DOS(E_F) ... 1.02 states/eV per atom
Symmetry ... No. 2
Formation enthalpy at 0 K ... 0.14 eV/atom
Theoretical density ... 10.5 Mg/m³

The structure in POSCAR format:
```
TiV12W6
1.0
8.4163 -0.7741 -0.8877
-1.7497 6.9580 -0.5935
-0.4948 -0.0504 4.9296
V Ti W
12 1 6
Direct
0.3472 0.1548 0.0132
0.5586 0.4478 0.7856
0.4414 0.5522 0.2144
0.8433 0.6503 0.1547
0.9492 0.5533 0.7177
0.1042 0.8813 0.5551
0.4542 0.0460 0.6839
0.0508 0.4467 0.2823
0.6528 0.8452 0.9868
0.5458 0.9540 0.3161
0.1567 0.3497 0.8453
0.8958 0.1187 0.4449
0.0000 0.0000 0.0000
0.3346 0.6641 0.6666
0.7383 0.7599 0.5676
0.2177 0.7789 0.1130
0.7823 0.2211 0.8870
0.2617 0.2401 0.4324
0.6654 0.3359 0.3334
```



No. 12
Compound: SrAlP
Source: the Alexandria database
Functional: PBE
Structure: optimized geometry

Total energy ... -4.022 eV/atom
DOS(E_F) ... 0.51 states/eV per atom
Symmetry ... No. 107
Formation enthalpy at 0 K ... -0.41 eV/atom
Theoretical density ... 3.6 Mg/m³

The structure in POSCAR format:
```
SrAlP
1.0
6.0576 0.0110 -0.0120
5.0384 3.3605 -0.0114
1.0192 0.3048 3.3357
Sr Al P
1 1 1
Direct
0.3294 0.3294 0.6706
0.0438 0.0438 0.9562
0.6269 0.6269 0.3731
```